No. 1
An optimized crystal structure of Bi3Se. Source: the Alexandria database, functional PBE.

Cell: 6.453 3.717 10.570 Å, 90.00 95.09 90.00°
Space group P2_1/m (No. 11)
Unique sites:
Bi 0.225 0.250 0.361
Bi 0.250 0.750 0.094
Bi 0.271 0.750 0.630
Se 0.311 0.250 0.863

Calculated values
Calculated total energy in eV per atom: -3.807
ρ in Mg/m³: 9.285
Total magnetization in μB per cell: 0.00
Fermi-level density of states in states/eV/f.u.: 2.122
Crystal system: monoclinic

No. 2
An optimized crystal structure of CuPb2Au. Source: the Alexandria database, functional PBE.

Cell: 3.9390 3.9390 21.7278 Å, 90.00 90.00 120.00°
Space group R-3m (No. 166, hexagonal axes)
Unique sites:
Cu 0.0000 0.0000 0.0000
Pb 0.0000 0.0000 0.2565
Au 0.0000 0.0000 0.5000

Calculated values
ρ in Mg/m³: 11.516
Total magnetization in μB per cell: 0.00
Fermi-level density of states in states/eV/f.u.: 1.011
Crystal system: trigonal
Calculated formation energy in eV/atom: 0.144

No. 3
An optimized crystal structure of HfAl2FeCo. Source: the Alexandria database, functional PBE.

Cell: 4.332 4.332 4.308 Å, 90.00 90.00 90.00°
Space group P4/mmm (No. 123)
Unique sites:
Hf 0.000 0.000 0.000
Al 0.000 0.500 0.500
Fe 0.500 0.500 0.500
Co 0.500 0.500 0.000

Calculated values
ρ in Mg/m³: 7.133
Total magnetization in μB per cell: 0.00
Fermi-level density of states in states/eV/f.u.: 3.528
Crystal system: tetragonal
Calculated formation energy in eV/atom: 0.312

No. 4
An optimized crystal structure of LaY7Ho2. Source: the Alexandria database, functional PBE.

Cell: 6.200 6.206 9.473 Å, 102.54 109.06 99.62°
Space group P-1 (No. 2)
Unique sites:
La 0.000 0.000 0.000
Y 0.000 0.500 0.500
Y 0.200 0.500 0.899
Y 0.202 0.003 0.402
Y 0.399 0.000 0.797
Ho 0.401 0.501 0.302

Calculated values
ρ in Mg/m³: 5.576
Total magnetization in μB per cell: 0.00
Fermi-level density of states in states/eV/f.u.: 15.490
Crystal system: triclinic
Calculated formation energy in eV/atom: 0.027

No. 5
An optimized crystal structure of TaNb4. Source: the Alexandria database, functional PBE.

Cell: 3.836 3.836 13.525 Å, 90.00 90.00 90.00°
Space group I4/mmm (No. 139)
Unique sites:
Ta 0.000 0.000 0.000
Nb 0.000 0.000 0.409
Nb 0.000 0.500 0.250

Calculated values
ρ in Mg/m³: 9.219
Total magnetization in μB per cell: 0.00
Fermi-level density of states in states/eV/f.u.: 7.081
Crystal system: tetragonal
Calculated formation energy in eV/atom: 0.737

No. 6
An optimized crystal structure of PrLuRh. Source: the Alexandria database, functional PBE.

Cell: 3.479 3.479 12.692 Å, 90.00 90.00 90.00°
Space group I4mm (No. 107)
Unique sites:
Pr 0.000 0.000 0.000
Lu 0.000 0.000 0.264
Rh 0.000 0.000 0.652

Calculated values
ρ in Mg/m³: 9.052
Total magnetization in μB per cell: 0.00
Fermi-level density of states in states/eV/f.u.: 3.746
Crystal system: tetragonal
Calculated formation energy in eV/atom: -0.512

No. 7
An optimized crystal structure of TiNbB2. Source: the Alexandria database, functional PBE.

Cell: 5.690 5.690 5.690 Å, 90.00 90.00 90.00°
Space group Fm-3m (No. 225)
Unique sites:
Ti 0.000 0.000 0.000
Nb 0.000 0.000 0.500
B 0.250 0.250 0.250

Calculated values
ρ in Mg/m³: 5.854
Total magnetization in μB per cell: 0.00
Fermi-level density of states in states/eV/f.u.: 6.999
Crystal system: cubic
Calculated formation energy in eV/atom: 0.120

No. 8
An optimized crystal structure of HfSnIr. Source: the Alexandria database, functional PBE.

Cell: 3.218 3.218 11.114 Å, 90.00 90.00 90.00°
Space group I4mm (No. 107)
Unique sites:
Hf 0.000 0.000 0.000
Sn 0.000 0.000 0.305
Ir 0.000 0.000 0.643

Calculated values
ρ in Mg/m³: 14.119
Total magnetization in μB per cell: 0.00
Fermi-level density of states in states/eV/f.u.: 2.734
Crystal system: tetragonal
Calculated formation energy in eV/atom: -0.409